Here is a relaxed CrGePt2F crystal from the Alexandria database. Energies are from PBE with a Hubbard U.

Output
crystal system	tetragonal
calculated total energy	-4.30	eV per atom

Unit cell a=4.686 b=4.686 c=4.968 alpha=90.00 beta=90.00 gamma=90.00
Space group P4/mmm (No. 123)
Unique sites:
1 Cr 0.000 0.000 0.000
2 Ge 0.000 0.000 0.500
3 Pt 0.000 0.500 0.000
4 F 0.500 0.500 0.500